A plane-wave DFT calculation with GGA-PBE was carried out for crystalline YTl2Fe at its relaxed geometry.

Lattice parameters (Å, degrees): 8.4865 8.4865 8.4865 25.35 25.35 25.35
Atoms (fractional coordinates):
Y 0.0000 0.0000 0.0000
Tl 0.2366 0.2366 0.2366
Tl 0.7634 0.7634 0.7634
Fe 0.5000 0.5000 0.5000

Space group: R-3m
Density of states at the Fermi level (states/eV/f.u.): 1.8
Distance to the lowest polymorph of the same formula (meV/atom): 123
Formation energy (eV/atom): 0.262
Energy (eV per atom): -4.65

=====

A plane-wave DFT calculation with GGA-PBE was carried out for crystalline YTl2Fe at its relaxed geometry.

Lattice parameters (Å, degrees): 6.1555 6.1555 4.9096 113.40 113.40 34.23
Atoms (fractional coordinates):
Y 0.0000 0.0000 0.0000
Tl 0.2078 0.2078 0.7073
Tl 0.4204 0.4204 0.4206
Fe 0.7174 0.7174 0.2166

Space group: Cm
Density of states at the Fermi level (states/eV/f.u.): 3.8
Distance to the lowest polymorph of the same formula (meV/atom): 54
Formation energy (eV/atom): 0.192
Energy (eV per atom): -4.72

=====

A plane-wave DFT calculation with GGA-PBE was carried out for crystalline Y3TlFe at its relaxed geometry.

Lattice parameters (Å, degrees): 8.5929 3.8503 8.7199 90.00 114.91 90.00
Atoms (fractional coordinates):
Y 0.0400 0.2500 0.2208
Y 0.3263 0.2500 0.8966
Y 0.3285 0.7500 0.5705
Y 0.6715 0.2500 0.4295
Y 0.6737 0.7500 0.1034
Y 0.9600 0.7500 0.7792
Tl 0.3356 0.7500 0.1990
Tl 0.6644 0.2500 0.8010
Fe 0.0516 0.2500 0.5652
Fe 0.9484 0.7500 0.4348

Space group: P2_1/m
Density of states at the Fermi level (states/eV/f.u.): 5.2
Distance to the lowest polymorph of the same formula (meV/atom): 0
Formation energy (eV/atom): -0.182
Energy (eV per atom): -6.23